Entry 1:
Below is crystalline RbCaInBr4 at its relaxed geometry, with properties calculated at the GGA-PBE level.

a = 5.6758 Å, b = 5.6758 Å, c = 9.4311 Å
α = 107.51°, β = 107.51°, γ = 90.00°
With the nearest neighbours (Å) after each atom.
Fractional coordinates of all 7 atoms:
1 Rb 0.6374 0.6374 0.2747  5 Br 3.33-3.63
2 Ca 0.9984 0.9984 0.9968  6 Br 2.83-2.99
3 In 0.3492 0.3492 0.6984  1 Br 2.99
4 Br 0.0045 0.5045 0.0089  2 Ca 2.84
5 Br 0.5045 0.0045 0.0089  2 Ca 2.84
6 Br 0.8324 0.8324 0.6648  1 Ca 2.83
7 Br 0.1737 0.1737 0.3475  1 Ca 2.99, 1 In 2.99

Results
Energy: -3.30 eV per atom
Density: 3382 kg/m³
Space-group type: No. 107
Spin magnetization: 0.0 μB per cell

=====

Entry 2:
Below is crystalline La5Tb2PmY at its relaxed geometry, with properties calculated at the GGA-PBE level.

a = 5.5327 Å, b = 11.2976 Å, c = 10.6520 Å
α = 90.00°, β = 90.00°, γ = 104.17°
With the nearest neighbours (Å) after each atom.
Fractional coordinates of all 18 atoms:
1 La 0.3772 0.7543 0.0082  1 Pm 3.59, 6 La 3.78-3.95, 4 Tb 3.85
2 La 0.7218 0.4435 0.8182  2 La 3.29, 1 Y 3.33, 3 Pm 3.43-3.59
3 La 0.5000 0.0001 0.7580  2 Y 3.46, 4 Tb 3.71, 6 La 3.78-3.84
4 La 0.2789 0.5579 0.6992  2 La 3.29, 1 Y 3.33, 3 Pm 3.44-3.60
5 La 0.0000 0.0000 0.5080  2 Y 3.54, 4 Tb 3.63-3.64, 6 La 3.84-3.86
6 La 0.6228 0.2457 0.5082  1 Pm 3.59, 6 La 3.78-3.95, 4 Tb 3.85
7 La 0.2782 0.5565 0.3182  2 La 3.29, 1 Y 3.33, 3 Pm 3.43-3.59
8 La 0.5000 0.9999 0.2580  2 Y 3.46, 4 Tb 3.71, 6 La 3.78-3.84
9 La 0.7211 0.4421 0.1992  2 La 3.29, 1 Y 3.33, 3 Pm 3.44-3.60
10 La 0.0000 0.0000 0.0080  2 Y 3.54, 4 Tb 3.63-3.64, 6 La 3.84-3.86
11 Tb 0.8874 0.7749 0.7575  1 Pm 3.45, 9 La 3.63-3.85, 2 Y 3.85
12 Tb 0.1130 0.2260 0.7585  1 Pm 3.45, 9 La 3.63-3.85, 2 Y 3.84
13 Tb 0.1126 0.2251 0.2575  1 Pm 3.45, 9 La 3.63-3.85, 2 Y 3.85
14 Tb 0.8870 0.7740 0.2585  1 Pm 3.45, 9 La 3.63-3.85, 2 Y 3.84
15 Pm 0.7867 0.5733 0.5086  7 La 3.43-3.60, 2 Tb 3.45, 2 Y 3.71
16 Pm 0.2133 0.4267 0.0086  7 La 3.43-3.60, 2 Tb 3.45, 2 Y 3.71
17 Y 0.6007 0.2013 0.0078  6 La 3.33-3.54, 2 Pm 3.71
18 Y 0.3993 0.7987 0.5078  6 La 3.33-3.54, 2 Pm 3.71

Results
Formation energy from the elements: 0.125 eV per atom
Density: 6412 kg/m³
Space-group type: No. 36
Spin magnetization: 0.0 μB per cell

=====

Entry 3:
Below is crystalline Sr2MnSiSe at its relaxed geometry, with properties calculated at the GGA-PBE level.

a = 5.8286 Å, b = 4.6603 Å, c = 5.8286 Å
α = 90.00°, β = 90.00°, γ = 90.00°
With the nearest neighbours (Å) after each atom.
Fractional coordinates of all 5 atoms:
1 Sr 0.0000 0.0000 0.5000  2 Se 2.91
2 Sr 0.5000 0.0000 0.0000  2 Se 2.91
3 Si 0.5000 0.5000 0.5000  8 Sr 3.73, 4 Mn 4.12
4 Mn 0.0000 0.5000 0.0000  2 Se 2.33
5 Se 0.0000 0.0000 0.0000  2 Mn 2.33

Results
Energy: -4.47 eV per atom
Density: 3537 kg/m³
Space-group type: No. 123
Spin magnetization: 4.4 μB per cell

=====

Question: Among the records above, which one has the highest spin magnetization?
Answer: Sr2MnSiSe

=====

Repeat the third record exactly.
Below is crystalline Sr2MnSiSe at its relaxed geometry, with properties calculated at the GGA-PBE level.

a = 5.8286 Å, b = 4.6603 Å, c = 5.8286 Å
α = 90.00°, β = 90.00°, γ = 90.00°
With the nearest neighbours (Å) after each atom.
Fractional coordinates of all 5 atoms:
1 Sr 0.0000 0.0000 0.5000  2 Se 2.91
2 Sr 0.5000 0.0000 0.0000  2 Se 2.91
3 Si 0.5000 0.5000 0.5000  8 Sr 3.73, 4 Mn 4.12
4 Mn 0.0000 0.5000 0.0000  2 Se 2.33
5 Se 0.0000 0.0000 0.0000  2 Mn 2.33

Results
Energy: -4.47 eV per atom
Density: 3537 kg/m³
Space-group type: No. 123
Spin magnetization: 4.4 μB per cell